# Dy4YTh3S8 GGA-PBE optimized geometry
# Formation energy (no corrections): -30.82 eV/f.u.
data_Dy4YTh3S8
_cell_length_a 7.8498
_cell_length_b 7.8498
_cell_length_c 19.7450
_cell_angle_alpha 90.00
_cell_angle_beta 90.00
_cell_angle_gamma 120.00
_space_group_name_H-M_alt 'R -3 m'
_space_group_IT_number 166
_space_group_name_Hall '-R 3 2"'
loop_
_atom_site_label
_atom_site_type_symbol
_atom_site_fract_x
_atom_site_fract_y
_atom_site_fract_z
Dy1 Dy 0.0000 0.0000 0.0000
Dy2 Dy 0.0000 0.5000 0.0000
Y1 Y 0.0000 0.0000 0.5000
Th1 Th 0.0000 0.5000 0.5000
S1 S 0.0000 0.0000 0.2551
S2 S 0.0055 0.5027 0.2534

=====

# Cs4La3PuO8 GGA-PBE optimized geometry
# Formation energy (no corrections): -39.80 eV/f.u.
data_Cs4La3PuO8
_cell_length_a 7.5035
_cell_length_b 7.5035
_cell_length_c 20.8205
_cell_angle_alpha 90.00
_cell_angle_beta 90.00
_cell_angle_gamma 120.00
_space_group_name_H-M_alt 'R -3 m'
_space_group_IT_number 166
_space_group_name_Hall '-R 3 2"'
loop_
_atom_site_label
_atom_site_type_symbol
_atom_site_fract_x
_atom_site_fract_y
_atom_site_fract_z
Cs1 Cs 0.0000 0.0000 0.0000
Cs2 Cs 0.0000 0.5000 0.0000
La1 La 0.0000 0.5000 0.5000
Pu1 Pu 0.0000 0.0000 0.5000
O1 O 0.0000 0.0000 0.2222
O2 O 0.0114 0.5057 0.2222

=====

# KCo2Os GGA-PBE optimized geometry
# Calculated formation energy: 1.42 eV per atom
# Energy above the lowest structure with this stoichiometry: 734 meV per atom
data_KCo2Os
_cell_length_a 6.290
_cell_length_b 6.290
_cell_length_c 6.290
_cell_angle_alpha 90.00
_cell_angle_beta 90.00
_cell_angle_gamma 90.00
_space_group_name_H-M_alt 'F m -3 m'
_space_group_IT_number 225
_space_group_name_Hall '-F 4 2 3'
loop_
_atom_site_label
_atom_site_type_symbol
_atom_site_fract_x
_atom_site_fract_y
_atom_site_fract_z
K1 K 0.000 0.000 0.000
Co1 Co 0.250 0.250 0.250
Os1 Os 0.000 0.000 0.500

=====

# SmMg11Pt GGA-PBE optimized geometry
# Calculated formation energy: -0.20 eV per atom
data_SmMg11Pt
_cell_length_a 5.625
_cell_length_b 14.398
_cell_length_c 7.657
_cell_angle_alpha 90.00
_cell_angle_beta 110.42
_cell_angle_gamma 90.00
_space_group_name_H-M_alt 'C 1 2/m 1'
_space_group_IT_number 12
loop_
_space_group_symop_operation_xyz
'x,y,z'
'-x,-y,-z'
'-x,y,-z'
'x,-y,z'
'x+1/2,y+1/2,z'
'-x+1/2,-y+1/2,-z'
'-x+1/2,y+1/2,-z'
'x+1/2,-y+1/2,z'
loop_
_atom_site_label
_atom_site_type_symbol
_atom_site_fract_x
_atom_site_fract_y
_atom_site_fract_z
Sm1 Sm 0.000 0.000 0.000
Mg1 Mg 0.000 0.000 0.500
Mg2 Mg 0.096 0.398 0.219
Mg3 Mg 0.192 0.168 0.361
Mg4 Mg 0.250 0.250 0.000
Pt1 Pt 0.000 0.500 0.500

=====

# ErTiN GGA-PBE optimized geometry
# Formation energy (no corrections): -0.97 eV/f.u.
# Energy above the lowest structure with this stoichiometry: 695 meV per atom
data_ErTiN
_cell_length_a 2.877
_cell_length_b 2.877
_cell_length_c 10.818
_cell_angle_alpha 90.00
_cell_angle_beta 90.00
_cell_angle_gamma 90.00
_space_group_name_H-M_alt 'I 4 m m'
_space_group_IT_number 107
_space_group_name_Hall 'I 4 -2'
loop_
_atom_site_label
_atom_site_type_symbol
_atom_site_fract_x
_atom_site_fract_y
_atom_site_fract_z
Er1 Er 0.000 0.000 0.000
Ti1 Ti 0.000 0.000 0.752
N1 N 0.000 0.000 0.349

=====

# Pr6Sm4Tm GGA-PBE optimized geometry
# Calculated formation energy: 0.28 eV per atom
# Energy above the lowest structure with this stoichiometry: 2 meV per atom
data_Pr6Sm4Tm
_cell_length_a 6.867
_cell_length_b 6.867
_cell_length_c 16.704
_cell_angle_alpha 90.00
_cell_angle_beta 90.00
_cell_angle_gamma 90.00
_space_group_name_H-M_alt 'I -4 2 m'
_space_group_IT_number 121
_space_group_name_Hall 'I -4 2'
loop_
_atom_site_label
_atom_site_type_symbol
_atom_site_fract_x
_atom_site_fract_y
_atom_site_fract_z
Pr1 Pr 0.000 0.500 0.000
Pr2 Pr 0.190 0.190 0.178
Sm1 Sm 0.174 0.174 0.385
Tm1 Tm 0.000 0.000 0.000

=====

# GaCo3Ge GGA-PBE optimized geometry
# Calculated formation energy: 0.74 eV per atom
# Energy above the lowest structure with this stoichiometry: 765 meV per atom
data_GaCo3Ge
_cell_length_a 4.287
_cell_length_b 4.287
_cell_length_c 4.287
_cell_angle_alpha 90.00
_cell_angle_beta 90.00
_cell_angle_gamma 90.00
_space_group_name_H-M_alt 'P m -3 m'
_space_group_IT_number 221
_space_group_name_Hall '-P 4 2 3'
loop_
_atom_site_label
_atom_site_type_symbol
_atom_site_fract_x
_atom_site_fract_y
_atom_site_fract_z
Ga1 Ga 0.000 0.000 0.000
Co1 Co 0.000 0.500 0.500
Ge1 Ge 0.500 0.500 0.500

=====

# LaEuMgRu GGA-PBE optimized geometry
# Calculated formation energy: 0.02 eV per atom
data_LaEuMgRu
_cell_length_a 7.372
_cell_length_b 7.372
_cell_length_c 7.372
_cell_angle_alpha 90.00
_cell_angle_beta 90.00
_cell_angle_gamma 90.00
_space_group_name_H-M_alt 'F -4 3 m'
_space_group_IT_number 216
_space_group_name_Hall 'F -4 2 3'
loop_
_atom_site_label
_atom_site_type_symbol
_atom_site_fract_x
_atom_site_fract_y
_atom_site_fract_z
La1 La 0.000 0.000 0.000
Eu1 Eu 0.000 0.000 0.500
Mg1 Mg 0.250 0.250 0.750
Ru1 Ru 0.250 0.250 0.250

=====

# Si2Os GGA-PBE optimized geometry
# Formation energy (no corrections): 1.60 eV/f.u.
data_Si2Os
_cell_length_a 4.0778
_cell_length_b 4.0778
_cell_length_c 5.7101
_cell_angle_alpha 90.00
_cell_angle_beta 90.00
_cell_angle_gamma 120.00
_space_group_name_H-M_alt 'P 63/m m c'
_space_group_IT_number 194
_space_group_name_Hall '-P 6c 2c'
loop_
_atom_site_label
_atom_site_type_symbol
_atom_site_fract_x
_atom_site_fract_y
_atom_site_fract_z
Si1 Si 0.3333 0.6667 0.0289
Os1 Os 0.0000 0.0000 0.2500

=====

# ZrTcRu3 GGA-PBE optimized geometry
# Calculated formation energy: 1.04 eV per atom
# Energy above the lowest structure with this stoichiometry: 0 meV per atom
data_ZrTcRu3
_cell_length_a 4.607
_cell_length_b 4.607
_cell_length_c 4.607
_cell_angle_alpha 90.00
_cell_angle_beta 90.00
_cell_angle_gamma 90.00
_space_group_name_H-M_alt 'P m -3 m'
_space_group_IT_number 221
_space_group_name_Hall '-P 4 2 3'
loop_
_atom_site_label
_atom_site_type_symbol
_atom_site_fract_x
_atom_site_fract_y
_atom_site_fract_z
Zr1 Zr 0.000 0.000 0.000
Tc1 Tc 0.500 0.500 0.500
Ru1 Ru 0.000 0.500 0.500

=====

# Rb2Hg2PbS4 GGA-PBE optimized geometry
# Formation energy (no corrections): -5.26 eV/f.u.
data_Rb2Hg2PbS4
_cell_length_a 16.507
_cell_length_b 4.301
_cell_length_c 7.950
_cell_angle_alpha 90.00
_cell_angle_beta 109.66
_cell_angle_gamma 90.00
_space_group_name_H-M_alt 'C 1 2/m 1'
_space_group_IT_number 12
loop_
_space_group_symop_operation_xyz
'x,y,z'
'-x,-y,-z'
'-x,y,-z'
'x,-y,z'
'x+1/2,y+1/2,z'
'-x+1/2,-y+1/2,-z'
'-x+1/2,y+1/2,-z'
'x+1/2,-y+1/2,z'
loop_
_atom_site_label
_atom_site_type_symbol
_atom_site_fract_x
_atom_site_fract_y
_atom_site_fract_z
Rb1 Rb 0.126 0.000 0.047
Hg1 Hg 0.165 0.500 0.493
Pb1 Pb 0.000 0.000 0.500
S1 S 0.021 0.500 0.252
S2 S 0.208 0.000 0.689

=====

# ZnAgAu6 GGA-PBE optimized geometry
# Calculated formation energy: 0.10 eV per atom
# Energy above the lowest structure with this stoichiometry: 181 meV per atom
data_ZnAgAu6
_cell_length_a 7.6181
_cell_length_b 7.6181
_cell_length_c 9.8429
_cell_angle_alpha 90.00
_cell_angle_beta 90.00
_cell_angle_gamma 120.00
_space_group_name_H-M_alt 'R -3 m'
_space_group_IT_number 166
_space_group_name_Hall '-R 3 2"'
loop_
_atom_site_label
_atom_site_type_symbol
_atom_site_fract_x
_atom_site_fract_y
_atom_site_fract_z
Zn1 Zn 0.0000 0.0000 0.0000
Ag1 Ag 0.0000 0.0000 0.5000
Au1 Au 0.0869 0.5435 0.8718

=====

Q: What is the formula in the fifth record?
A: ErTiN

=====

Q: Number 5 is which compound?
A: ErTiN